# 1
Here is a relaxed TlTc2Pt crystal from Alexandria. Energies are from PBE.

Structure (extended XYZ):
```
4
Lattice="-1.7051 -0.8988 2.7189 2.0779 -2.5657 0.4550 3.6320 3.5539 3.4526" Properties=species:S:1:pos:R:3 pbc="T T T"
Pt 2.9507 0.9726 4.2147
Tc 0.1005 0.0983 0.0955
Tc 0.9277 -1.0068 2.2916
Tl 1.8419 1.8023 1.7509
```

Properties
Energy in eV per cell: -27.81
Spin magnetization in μB/atom: 0.0000
Volume in Å³/atom: 17.1



# 2
Here is a relaxed Rb3Er7S12 crystal from Alexandria. Energies are from PBE.

Structure (extended XYZ):
```
44
Lattice="-1.1082 -1.6002 3.4635 11.5321 -2.6386 2.4708 2.7064 22.2784 11.1592" Properties=species:S:1:pos:R:3 pbc="T T T"
Rb 5.9554 0.6546 4.4867
Rb 12.8539 15.8912 13.7338
Rb 1.4417 7.9804 4.1485
Rb 7.0718 12.7749 8.1651
Rb 9.9351 7.7336 9.0308
Rb 4.9807 21.2429 11.4085
Er 9.1703 15.0466 12.1649
Er 9.7105 1.6670 6.1560
Er 3.7591 15.4044 8.3201
Er 4.7264 5.5414 4.0726
Er 5.4429 16.5287 11.6570
Er 1.9708 2.7965 4.2014
Er 11.3471 13.0268 9.6495
Er 8.6026 5.2838 5.1938
Er 5.9663 7.2865 7.5543
Er 1.3520 12.1380 8.3194
Er 11.4344 -0.6908 3.3395
Er 8.6292 19.0529 11.5641
Er 4.1607 10.4735 6.1703
Er 10.8714 19.4600 14.7483
S 6.3253 18.7256 12.9544
S 1.0901 0.6127 2.9106
S 11.6640 10.5691 8.6154
S 8.2872 7.7548 6.2346
S 6.0900 4.6841 6.3915
S 12.7976 12.0631 11.9470
S 0.5901 4.3343 2.1914
S 7.8969 16.6464 10.2179
S 5.3808 9.6995 8.4818
S 1.7776 9.6824 7.3210
S 13.1577 19.4543 13.1985
S 7.0470 -1.2036 1.6987
S 4.8895 14.2309 10.4183
S 2.4867 5.1076 5.4342
S 11.4055 15.4426 10.7843
S 8.5829 2.8639 4.0695
S 9.0814 12.5942 11.0033
S 9.7894 4.1636 7.3347
S 4.2746 17.8010 9.5923
S 4.2309 3.1821 2.8239
S 9.7290 17.3920 13.4273
S 9.2075 -0.6883 4.9068
S 3.6781 12.9525 7.1613
S 4.7524 8.0087 5.2209
```

Properties
Energy in eV per cell: -255.80
Energy relative to the elements, uncorrected in eV per atom: -1.98
Spin magnetization in μB/atom: 0.0000
Volume in Å³/atom: 27.4



# 3
Here is a relaxed Mn2BeHgSe crystal from Alexandria. Energies are from PBE.

Structure (extended XYZ):
```
5
Lattice="-4.4215 -0.9103 0.0636 0.6606 -2.9817 3.2554 -0.6214 3.2341 3.0882" Properties=species:S:1:pos:R:3 pbc="T T T"
Be 0.0000 0.0000 0.0000
Mn -0.3107 1.6170 1.5441
Mn -2.2107 -0.4551 0.0318
Hg 0.3303 -1.4908 1.6277
Se -2.1911 -0.3289 3.2036
```

Properties
Energy in eV per cell: -23.29
Energy relative to the elements, uncorrected in eV per atom: 0.51
Spin magnetization in μB/atom: 1.5600
Volume in Å³/atom: 18.2



# 4
Here is a relaxed GdPaZn4 crystal from Alexandria. Energies are from PBE.

Structure (extended XYZ):
```
6
Lattice="5.4623 0.0000 0.0000 2.7311 4.7305 0.0000 2.7311 1.5768 4.4599" Properties=species:S:1:pos:R:3 pbc="T T T"
Gd 0.0000 0.0000 0.0000
Zn 5.4623 3.1536 0.5602
Zn 5.4623 1.5794 2.7865
Zn 6.8256 3.9408 2.7865
Zn 4.0989 3.9408 2.7865
Pa 2.7311 1.5768 1.1150
```

Properties
Energy in eV per cell: -29.64
Spin magnetization in μB/atom: 1.3796
Volume in Å³/atom: 19.2



# 5
Here is a relaxed La7Y2Tm2 crystal from Alexandria. Energies are from PBE.

Structure (extended XYZ):
```
11
Lattice="12.1881 -1.0531 -1.5197 -1.4993 6.2470 -0.4951 -1.4993 -2.6573 5.6752" Properties=species:S:1:pos:R:3 pbc="T T T"
La -0.4851 4.4277 2.4946
La 9.6746 1.7557 -1.3613
La 9.6746 -1.8911 1.1659
La -0.4851 0.7809 5.0217
La 0.0000 0.0000 0.0000
La 5.2609 2.2866 3.2998
La 3.9285 0.2499 0.3607
Y 4.5947 -1.1743 3.5229
Y 4.5947 3.7109 0.1376
Tm 7.3418 0.7318 1.0560
Tm 1.8476 1.8048 2.6044
```

Properties
Energy in eV per cell: -55.38
Spin magnetization in μB/atom: 0.0000
Volume in Å³/atom: 35.1



# 6
Here is a relaxed GdScBe2 crystal from Alexandria. Energies are from PBE.

Structure (extended XYZ):
```
4
Lattice="-2.1325 1.3951 2.1161 -0.3553 -2.9027 1.5555 4.9927 1.5407 4.0155" Properties=species:S:1:pos:R:3 pbc="T T T"
Sc -1.2439 -0.7538 1.8358
Be 3.9725 1.2259 3.1950
Be 1.0202 0.3148 0.8205
Gd 1.2524 0.0166 3.8436
```

Properties
Energy in eV per cell: -27.69
Spin magnetization in μB/atom: 1.8778
Volume in Å³/atom: 18.1



# 7
Here is a relaxed PrNdCd3 crystal from Alexandria. Energies are from PBE.

Structure (extended XYZ):
```
10
Lattice="-3.2759 -0.7764 -1.0630 1.7874 -1.2708 -4.5800 3.5086 -13.9534 5.2411" Properties=species:S:1:pos:R:3 pbc="T T T"
Pr 1.2976 -13.5694 0.0490
Pr 0.7225 -2.4313 -0.4509
Nd 2.1387 -7.0720 -1.4257
Nd -0.1185 -8.9287 1.0237
Cd 0.1523 -4.7891 -2.8343
Cd 1.8678 -11.2116 2.4324
Cd -0.2091 -2.0183 -3.7442
Cd 2.2292 -13.9823 3.3422
Cd -0.5418 -5.6840 -0.0418
Cd 2.5619 -10.3166 -0.3602
```

Properties
Energy in eV per cell: -27.71
Spin magnetization in μB/atom: 0.0000
Volume in Å³/atom: 27.3



# 8
Here is a relaxed Y2Cr2Bi crystal from Alexandria. Energies are from PBE.

Structure (extended XYZ):
```
5
Lattice="3.4458 0.0000 0.0000 0.0000 3.4458 0.0000 1.7229 1.7229 9.5781" Properties=species:S:1:pos:R:3 pbc="T T T"
Y 1.7229 1.7229 2.3852
Y 3.4458 3.4458 7.1929
Cr 3.4458 1.7229 4.7890
Cr 1.7229 3.4458 4.7890
Bi 0.0000 0.0000 0.0000
```

Properties
Energy in eV per cell: -35.25
Spin magnetization in μB/atom: 0.0000
Volume in Å³/atom: 22.7



# 9
Here is a relaxed K2Tl2Cd crystal from Alexandria. Energies are from PBE.

Structure (extended XYZ):
```
5
Lattice="4.8893 0.0000 0.0000 0.0000 4.8893 0.0000 2.4447 2.4447 8.1958" Properties=species:S:1:pos:R:3 pbc="T T T"
Tl 2.4447 2.4447 1.4732
Tl 4.8893 4.8893 6.7226
K 4.8893 2.4447 4.0979
K 2.4447 4.8893 4.0979
Cd 0.0000 0.0000 0.0000
```

Properties
Energy in eV per cell: -6.86
Spin magnetization in μB/atom: 0.0000
Volume in Å³/atom: 39.2



# 10
Here is a relaxed PuIn2Au crystal from Alexandria. Energies are from PBE.

Structure (extended XYZ):
```
8
Lattice="-1.9891 -1.6641 -4.0406 2.4660 -4.0925 0.4715 -6.5225 -0.3965 6.2268" Properties=species:S:1:pos:R:3 pbc="T T T"
Pu -1.7150 -0.8938 1.2124
Pu -4.3306 -5.2594 1.4453
In 1.2330 -2.0462 0.2358
In -0.9946 -0.8321 -2.0203
In -4.5369 -2.3643 3.2072
In -1.5087 -3.7888 -0.5495
Au -1.9090 -3.6837 2.4569
Au -4.1366 -2.4695 0.2008
```

Properties
Energy in eV per cell: -48.58
Spin magnetization in μB/atom: 1.4198
Volume in Å³/atom: 24.1



# 11
Here is a relaxed NdY2Zn crystal from Alexandria. Energies are from PBE.

Structure (extended XYZ):
```
4
Lattice="-3.3406 1.2895 3.2105 0.3669 -4.3058 2.1112 3.4404 1.7113 2.8925" Properties=species:S:1:pos:R:3 pbc="T T T"
Y 1.7202 0.8557 1.4463
Y 0.1834 -2.1529 1.0556
Zn -1.6703 0.6447 1.6052
Nd 0.2333 -0.6525 4.1071
```

Properties
Energy in eV per cell: -19.08
Spin magnetization in μB/atom: 0.0019
Volume in Å³/atom: 27.8



# 12
Here is a relaxed Sr2AgHg crystal from Alexandria. Energies are from PBE.

Structure (extended XYZ):
```
4
Lattice="4.4981 0.0000 0.0000 2.2491 3.8955 0.0000 2.2491 1.2985 8.2545" Properties=species:S:1:pos:R:3 pbc="T T T"
Sr 2.2491 1.2985 6.3124
Sr 2.2491 1.2985 1.9364
Ag 4.4981 2.5970 0.0122
Hg 4.4981 2.5970 4.1207
```

Properties
Energy in eV per cell: -7.67
Spin magnetization in μB/atom: 0.0000
Volume in Å³/atom: 36.2



# 13
Here is a relaxed MnHN crystal from Alexandria. Energies are from PBE.

Structure (extended XYZ):
```
3
Lattice="-1.1572 -2.6287 0.1618 1.7356 0.9388 2.0932 -2.7876 1.3326 1.7137" Properties=species:S:1:pos:R:3 pbc="T T T"
Mn -0.5129 -1.2865 1.0023
H 0.1828 0.0310 1.8112
N -2.0272 -0.5626 1.9333
```

Properties
Energy in eV per cell: -19.68
Spin magnetization in μB/atom: 0.0001
Volume in Å³/atom: 8.4



# 14
Here is a relaxed KCaCeF6 crystal from Alexandria. Energies are from PBE.

Structure (extended XYZ):
```
18
Lattice="6.3190 0.0000 0.0000 -3.1595 5.4724 0.0000 0.0000 0.0000 10.2285" Properties=species:S:1:pos:R:3 pbc="T T T"
K 0.0000 0.0000 0.0000
K 0.0000 0.0000 5.1143
Ca 3.1595 1.8241 2.5571
Ca 0.0000 3.6483 7.6714
Ce 0.0000 3.6483 2.5571
Ce 3.1595 1.8241 7.6714
F 2.0183 3.4575 1.4335
F 5.1446 1.9958 1.4335
F -0.8439 5.4533 6.5478
F -1.9851 3.4767 8.7950
F 1.1744 1.9958 3.6807
F 4.3007 3.4575 3.6807
F 0.8439 5.4533 8.7950
F 4.0034 0.0192 3.6807
F -1.1412 2.0149 6.5478
F 2.3156 0.0192 1.4335
F 1.9851 3.4767 6.5478
F 1.1412 2.0149 8.7950
```

Properties
Energy in eV per cell: -106.41
Energy relative to the elements, uncorrected in eV per atom: -3.66
Spin magnetization in μB/atom: 0.1112
Volume in Å³/atom: 19.7



# 15
Here is a relaxed Cs5Ga4Ge2 crystal from Alexandria. Energies are from PBE.

Structure (extended XYZ):
```
11
Lattice="7.3158 0.0000 0.0000 3.6579 6.5086 0.0094 3.6579 2.1821 9.2501" Properties=species:S:1:pos:R:3 pbc="T T T"
Cs 5.5056 3.8266 8.0625
Cs 9.1259 4.8640 1.1969
Cs 3.6579 4.3453 4.6297
Cs 9.1259 3.8266 8.0625
Cs 5.5056 4.8640 1.1969
Ga 7.3158 7.1100 4.7007
Ga 7.3158 1.5807 4.5588
Ga 10.9736 7.1938 6.9671
Ga 3.6579 1.4969 2.2924
Ge 7.3158 7.0651 7.0794
Ge 7.3158 1.6255 2.1801
```

Properties
Energy in eV per cell: -24.02
Spin magnetization in μB/atom: 0.0506
Volume in Å³/atom: 40.0



# 16
Here is a relaxed PrDy2Tm3Se6 crystal from Alexandria. Energies are from PBE.

Structure (extended XYZ):
```
12
Lattice="-3.0530 5.4208 -3.2732 -3.3333 -6.1696 0.4937 -0.6316 2.2103 6.7537" Properties=species:S:1:pos:R:3 pbc="T T T"
Pr 0.0000 0.0000 0.0000
Dy -3.2394 -2.2875 -0.7680
Dy -3.1469 1.5387 -2.0115
Tm -3.6046 -3.2217 3.2717
Tm -3.4133 4.6831 0.7026
Tm -3.5090 0.7307 1.9871
Se -5.1447 3.0737 2.2691
Se -4.9017 0.0138 -0.3225
Se -1.8733 -1.6123 1.7052
Se -5.2414 -0.9252 3.5687
Se -2.1163 1.4477 4.2967
Se -1.7765 2.3866 0.4055
```

Properties
Energy in eV per cell: -68.97
Energy relative to the elements, uncorrected in eV per atom: -1.72
Spin magnetization in μB/atom: 0.0000
Volume in Å³/atom: 24.0



# 17
Here is a relaxed Li2TaW crystal from Alexandria. Energies are from PBE.

Structure (extended XYZ):
```
4
Lattice="4.4772 0.0000 0.0000 2.2386 3.8773 0.0000 2.2386 1.2924 3.6556" Properties=species:S:1:pos:R:3 pbc="T T T"
Li 0.0000 0.0000 0.0000
Li 2.2386 1.2924 0.9139
Ta 4.4772 2.5849 1.8278
W 6.7158 3.8773 2.7417
```

Properties
Energy in eV per cell: -25.88
Spin magnetization in μB/atom: 0.0003
Volume in Å³/atom: 15.9



# 18
Here is a relaxed AgPd crystal from Alexandria. Energies are from PBE.

Structure (extended XYZ):
```
16
Lattice="-5.1721 7.6842 -5.7008 -6.2550 2.1884 8.6246 1.8282 1.8634 0.8531" Properties=species:S:1:pos:R:3 pbc="T T T"
Ag -4.3580 4.1419 0.2921
Ag -7.0690 5.7307 2.6316
Ag -6.2605 6.1360 0.0134
Ag -5.1666 3.7366 2.9104
Ag -9.1575 10.0100 2.1805
Ag -0.4414 1.7261 1.5963
Ag -5.8878 4.3198 7.6026
Ag -3.7110 7.4162 -3.8258
Pd -6.8613 4.4400 5.0055
Pd -4.5658 5.4326 -2.0818
Pd -3.1550 2.2208 1.9103
Pd -8.2721 7.6518 1.0135
Pd -5.4057 8.1197 -1.7307
Pd -4.1932 3.6164 5.5075
Pd -7.9544 8.0889 3.7987
Pd -1.6444 3.6472 -0.0219
```

Properties
Energy in eV per cell: -58.35
Spin magnetization in μB/atom: 0.0000
Volume in Å³/atom: 20.3



# 19
Here is a relaxed PmSmDyS3 crystal from Alexandria. Energies are from PBE.

Structure (extended XYZ):
```
12
Lattice="3.8883 0.0000 0.0000 0.0000 6.9061 -0.1121 0.0000 -2.0733 10.1780" Properties=species:S:1:pos:R:3 pbc="T T T"
Pm 0.9721 1.7483 3.0377
Pm 2.9162 3.0845 7.0282
Sm 0.9721 -0.4400 6.4027
Sm 2.9162 5.2728 3.6632
Dy 0.9721 5.1813 0.4837
Dy 2.9162 -0.3485 9.5823
S 2.9162 0.0545 1.5669
S 0.9721 4.7783 8.4990
S 0.9721 3.8794 5.0701
S 2.9162 0.9534 4.9958
S 2.9162 3.4289 1.5564
S 0.9721 1.4039 8.5096
```

Properties
Energy in eV per cell: -75.92
Energy relative to the elements, uncorrected in eV per atom: -1.92
Spin magnetization in μB/atom: 0.0000
Volume in Å³/atom: 22.7



# 20
Here is a relaxed KMn2Zn crystal from Alexandria. Energies are from PBE.

Structure (extended XYZ):
```
4
Lattice="-4.8924 1.5844 3.4227 -0.7818 -2.5478 5.5730 3.0610 3.5442 -4.0287" Properties=species:S:1:pos:R:3 pbc="T T T"
K -0.2790 0.2573 3.0211
Mn -5.4297 -0.9219 8.6080
Mn -3.0817 -0.5233 4.8857
Zn -2.3343 2.3234 1.9460
```

Properties
Energy in eV per cell: -17.75
Spin magnetization in μB/atom: 1.9873
Volume in Å³/atom: 21.4



# 21
Here is a relaxed CaCu6Pt2 crystal from Alexandria. Energies are from PBE.

Structure (extended XYZ):
```
9
Lattice="5.1082 0.0000 0.0000 -2.5541 4.4238 0.0000 0.0000 0.0000 6.7325" Properties=species:S:1:pos:R:3 pbc="T T T"
Ca 0.0000 0.0000 0.0000
Cu 2.5545 0.0000 1.2632
Cu 1.2769 2.2116 1.2632
Cu -1.2772 2.2122 1.2632
Cu 1.2772 2.2122 5.4693
Cu -1.2769 2.2116 5.4693
Cu 2.5537 0.0000 5.4693
Pt 0.0000 2.9492 3.3662
Pt 2.5541 1.4746 3.3662
```

Properties
Energy in eV per cell: -37.41
Spin magnetization in μB/atom: 0.0000
Volume in Å³/atom: 16.9



# 22
Here is a relaxed IrCBr3 crystal from Alexandria. Energies are from PBE.

Structure (extended XYZ):
```
5
Lattice="-2.5463 3.7101 -2.3046 -0.0302 -2.6826 -4.2852 -4.3676 -2.1445 1.3732" Properties=species:S:1:pos:R:3 pbc="T T T"
Ir 0.0000 0.0000 0.0000
C -3.4720 -0.5585 -2.6083
Br -0.0151 -1.3413 -2.1426
Br -2.1838 -1.0722 0.6866
Br -1.2731 1.8551 -1.1523
```

Properties
Energy in eV per cell: -14.89
Energy relative to the elements, uncorrected in eV per atom: 1.64
Spin magnetization in μB/atom: 0.1806
Volume in Å³/atom: 25.8



# 23
Here is a relaxed YInCu2 crystal from Alexandria. Energies are from PBE.

Structure (extended XYZ):
```
4
Lattice="-1.3604 2.2647 3.2787 0.3751 -2.9829 2.2160 4.8982 -0.1413 2.1299" Properties=species:S:1:pos:R:3 pbc="T T T"
Cu 4.9374 -0.7084 2.5379
Cu 0.6147 0.9236 2.3208
In 2.2300 -1.4854 1.9512
Y 3.6655 -1.2929 5.1176
```

Properties
Energy in eV per cell: -18.28
Spin magnetization in μB/atom: 0.0000
Volume in Å³/atom: 19.7